An optimized crystal structure of TmGa2Rh, computed with PBE-GGA.

```
data_TmGa2Rh
_chemical_formula_sum 'Tm1 Ga2 Rh1'
_cell_length_a 3.230
_cell_length_b 3.230
_cell_length_c 6.773
_cell_angle_alpha 90.00
_cell_angle_beta 90.00
_cell_angle_gamma 90.00
_space_group_name_H-M_alt 'P 4/m m m'
_space_group_IT_number 123
_space_group_name_Hall '-P 4 2'
loop_
_atom_site_label
_atom_site_fract_x
_atom_site_fract_y
_atom_site_fract_z
Tm1 0.000 0.000 0.000
Ga1 0.500 0.500 0.299
Rh1 0.000 0.000 0.500
```

Computed properties:
**DFT formation energy**: -581 meV/atom
**E_tot**: -20.20 eV/f.u.
**ρ**: 9.67 g cm⁻³